[1]
Material: ZnTe2BrN
Method: DFT, PBE-GGA
State: optimized geometry

abc: 5.908 5.908 3.677
angles: 90.00 90.00 90.00
Fractional coordinates of all 5 atoms:
Zn: 0.000 0.000 0.000
Te: 0.000 0.500 0.500
Te: 0.500 0.000 0.500
Br: 0.500 0.500 0.500
N: 0.500 0.500 0.000

Computed properties:
Offset from the most stable computed form, meV per atom: 524
ΔE_f (raw), meV/atom: 1360.0
Symmetry: P4/mmm (123)
Total DFT energy (no corrections), eV per atom: -2.15



[2]
Material: CsHg2AsAu
Method: DFT, PBE-GGA
State: optimized geometry

abc: 5.527 5.527 5.266
angles: 90.00 90.00 90.00
Fractional coordinates of all 5 atoms:
Cs: 0.000 0.000 0.000
Hg: 0.000 0.500 0.500
Hg: 0.500 0.000 0.500
As: 0.500 0.500 0.000
Au: 0.500 0.500 0.500

Computed properties:
Formation enthalpy at 0 K, eV/atom: -0.016
Offset from the most stable computed form, meV per atom: 78
Symmetry: P4/mmm (123)
Total DFT energy (no corrections), eV per atom: -1.89



[3]
Material: GaRe2H
Method: DFT, PBE-GGA
State: optimized geometry

abc: 6.040 6.040 5.327
angles: 90.00 90.00 90.00
Fractional coordinates of all 16 atoms:
Ga: 0.000 0.000 0.000
Ga: 0.000 0.500 0.250
Ga: 0.500 0.000 0.750
Ga: 0.500 0.500 0.500
Re: 0.144 0.250 0.625
Re: 0.250 0.644 0.875
Re: 0.250 0.856 0.375
Re: 0.356 0.250 0.125
Re: 0.644 0.750 0.125
Re: 0.750 0.144 0.375
Re: 0.750 0.356 0.875
Re: 0.856 0.750 0.625
H: 0.000 0.000 0.500
H: 0.000 0.500 0.750
H: 0.500 0.000 0.250
H: 0.500 0.500 0.000

Computed properties:
Offset from the most stable computed form, meV per atom: 0
Symmetry: I-42d (122)
Total DFT energy (no corrections), eV per atom: -7.42



[4]
Material: Tb2YPd9
Method: DFT, PBE-GGA
State: optimized geometry

abc: 4.134 4.134 12.401
angles: 90.00 90.00 90.00
Fractional coordinates of all 12 atoms:
Tb: 0.000 0.000 0.166
Tb: 0.000 0.000 0.834
Y: 0.000 0.000 0.500
Pd: 0.000 0.500 0.000
Pd: 0.000 0.500 0.333
Pd: 0.000 0.500 0.667
Pd: 0.500 0.000 0.000
Pd: 0.500 0.000 0.333
Pd: 0.500 0.000 0.667
Pd: 0.500 0.500 0.167
Pd: 0.500 0.500 0.500
Pd: 0.500 0.500 0.833

Computed properties:
Formation enthalpy at 0 K, eV/atom: -0.855
Symmetry: P4/mmm (123)
Total DFT energy (no corrections), eV per atom: -6.06



[5]
Material: MgAgW
Method: DFT, PBE-GGA
State: optimized geometry

abc: 2.861 2.861 7.321
angles: 90.00 90.00 120.00
Fractional coordinates of all 3 atoms:
Mg: 0.000 0.000 0.000
Ag: 0.333 0.667 0.670
W: 0.667 0.333 0.334

Computed properties:
Formation enthalpy at 0 K, eV/atom: 0.389
Offset from the most stable computed form, meV per atom: 26
Symmetry: P3m1 (156)
Total DFT energy (no corrections), eV per atom: -5.41



[6]
Material: Na2Ho2Cl7
Method: DFT, PBE-GGA
State: optimized geometry

abc: 7.070 7.070 6.752
angles: 93.06 93.06 71.90
Fractional coordinates of all 11 atoms:
Na: 0.240 0.760 0.000
Na: 0.760 0.240 0.000
Ho: 0.269 0.269 0.568
Ho: 0.731 0.731 0.432
Cl: 0.003 0.592 0.732
Cl: 0.082 0.082 0.756
Cl: 0.408 0.997 0.268
Cl: 0.500 0.500 0.500
Cl: 0.592 0.003 0.732
Cl: 0.918 0.918 0.244
Cl: 0.997 0.408 0.268

Computed properties:
ΔE_f (raw), meV/atom: -1908.8
Symmetry: C2/m (12)
Total DFT energy (no corrections), eV per atom: -4.16



[7]
Material: Pm4NdY3
Method: DFT, PBE-GGA
State: optimized geometry

abc: 23.856 3.484 6.875
angles: 90.00 106.34 90.00
Fractional coordinates of all 16 atoms:
Pm: 0.125 0.000 0.371
Pm: 0.240 0.500 0.239
Pm: 0.260 0.000 0.761
Pm: 0.375 0.500 0.629
Pm: 0.625 0.500 0.371
Pm: 0.740 0.000 0.239
Pm: 0.760 0.500 0.761
Pm: 0.875 0.000 0.629
Nd: 0.000 0.500 0.000
Nd: 0.500 0.000 0.000
Y: 0.000 0.000 0.500
Y: 0.125 0.000 0.882
Y: 0.375 0.500 0.118
Y: 0.500 0.500 0.500
Y: 0.625 0.500 0.882
Y: 0.875 0.000 0.118

Computed properties:
Formation enthalpy at 0 K, eV/atom: 0.168
Offset from the most stable computed form, meV per atom: 146
Symmetry: C2/m (12)
Total DFT energy (no corrections), eV per atom: -5.23



[8]
Material: HfCuTcF2
Method: DFT, PBE-GGA
State: optimized geometry

abc: 3.794 3.794 5.530
angles: 90.00 90.00 90.00
Fractional coordinates of all 5 atoms:
Hf: 0.000 0.000 0.000
Cu: 0.500 0.500 0.500
Tc: 0.500 0.500 0.000
F: 0.000 0.500 0.500
F: 0.500 0.000 0.500

Computed properties:
ΔE_f (raw), meV/atom: -266.5
Symmetry: P4/mmm (123)
Total DFT energy (no corrections), eV per atom: -5.90



[9]
Material: LaScTe
Method: DFT, PBE-GGA
State: optimized geometry

abc: 4.423 4.423 8.609
angles: 90.00 90.00 90.00
Fractional coordinates of all 6 atoms:
La: 0.250 0.250 0.146
La: 0.750 0.750 0.854
Sc: 0.250 0.750 0.500
Sc: 0.750 0.250 0.500
Te: 0.250 0.250 0.749
Te: 0.750 0.750 0.251

Computed properties:
Offset from the most stable computed form, meV per atom: 0
ΔE_f (raw), meV/atom: -960.2
Symmetry: P4/nmm (129)
Total DFT energy (no corrections), eV per atom: -5.76



[10]
Material: Tm3Ga2Ag4
Method: DFT, PBE-GGA
State: optimized geometry

abc: 5.767 5.767 8.728
angles: 114.27 114.27 46.90
Fractional coordinates of all 9 atoms:
Tm: 0.000 0.000 0.000
Tm: 0.341 0.341 0.327
Tm: 0.659 0.659 0.673
Ga: 0.378 0.378 0.708
Ga: 0.622 0.622 0.292
Ag: 0.073 0.073 0.400
Ag: 0.287 0.287 0.943
Ag: 0.713 0.713 0.057
Ag: 0.927 0.927 0.600

Computed properties:
Formation enthalpy at 0 K, eV/atom: -0.385
Symmetry: C2/m (12)
Total DFT energy (no corrections), eV per atom: -3.82



[11]
Material: SmDyHo2S6
Method: DFT, PBE-GGA
State: optimized geometry

abc: 7.362 7.362 7.362
angles: 56.25 56.25 56.25
Fractional coordinates of all 10 atoms:
Sm: 0.000 0.000 0.000
Dy: 0.497 0.497 0.497
Ho: 0.295 0.295 0.295
Ho: 0.797 0.797 0.797
S: 0.092 0.685 0.409
S: 0.196 0.590 0.899
S: 0.409 0.092 0.685
S: 0.590 0.899 0.196
S: 0.685 0.409 0.092
S: 0.899 0.196 0.590

Computed properties:
ΔE_f (raw), meV/atom: -2053.6
Symmetry: R3 (146)
Total DFT energy (no corrections), eV per atom: -6.38



[12]
Material: Cd2AgPO
Method: DFT, PBE-GGA
State: optimized geometry

abc: 5.372 5.372 3.419
angles: 90.00 90.00 90.00
Fractional coordinates of all 5 atoms:
Cd: 0.000 0.500 0.000
Cd: 0.500 0.000 0.000
Ag: 0.000 0.000 0.500
P: 0.500 0.500 0.000
O: 0.500 0.500 0.500

Computed properties:
ΔE_f (raw), meV/atom: -84.2
Symmetry: P4/mmm (123)
Total DFT energy (no corrections), eV per atom: -3.09



[13]
Material: Cs2ErTiS4
Method: DFT, PBE-GGA
State: optimized geometry

abc: 14.868 13.313 7.988
angles: 84.61 63.06 32.33
Fractional coordinates of all 16 atoms:
Cs: 0.052 0.052 0.698
Cs: 0.302 0.302 0.948
Cs: 0.698 0.698 0.052
Cs: 0.948 0.948 0.302
Er: 0.125 0.125 0.125
Er: 0.875 0.875 0.875
Ti: 0.375 0.375 0.375
Ti: 0.625 0.625 0.625
S: 0.009 0.642 0.553
S: 0.296 0.553 0.642
S: 0.358 0.991 0.704
S: 0.447 0.704 0.991
S: 0.553 0.296 0.009
S: 0.642 0.009 0.296
S: 0.704 0.447 0.358
S: 0.991 0.358 0.447

Computed properties:
ΔE_f (raw), meV/atom: -1417.7
Symmetry: Fddd (70)
Total DFT energy (no corrections), eV per atom: -5.25



[14]
Material: TbTlInPt
Method: DFT, PBE-GGA
State: optimized geometry

abc: 7.130 7.130 7.130
angles: 90.00 90.00 90.00
Fractional coordinates of all 16 atoms:
Tb: 0.000 0.000 0.000
Tb: 0.000 0.500 0.500
Tb: 0.500 0.000 0.500
Tb: 0.500 0.500 0.000
Tl: 0.250 0.250 0.750
Tl: 0.250 0.750 0.250
Tl: 0.750 0.250 0.250
Tl: 0.750 0.750 0.750
In: 0.000 0.000 0.500
In: 0.000 0.500 0.000
In: 0.500 0.000 0.000
In: 0.500 0.500 0.500
Pt: 0.250 0.250 0.250
Pt: 0.250 0.750 0.750
Pt: 0.750 0.250 0.750
Pt: 0.750 0.750 0.250

Computed properties:
Formation enthalpy at 0 K, eV/atom: -0.496
Symmetry: F-43m (216)
Total DFT energy (no corrections), eV per atom: -4.44